Entry from Alexandria: a geometry-optimized PuMg2Sc structure (PBE).

Output
Formation energy: 0.116 eV/atom
Fermi-level density of states: 29.218 states/eV per cell
Total moment: 18.31 μB/cell
Total DFT energy (no corrections): -0.2149 Ha/atom

```
data_PuMg2Sc
_chemical_formula_sum 'Pu3 Mg6 Sc3'
_cell_length_a 3.2142
_cell_length_b 3.2142
_cell_length_c 33.1057
_cell_angle_alpha 90.00
_cell_angle_beta 90.00
_cell_angle_gamma 120.00
_space_group_name_H-M_alt 'R 3 m'
_space_group_IT_number 160
_space_group_name_Hall 'R 3 -2"'
loop_
_atom_site_label
_atom_site_type_symbol
_atom_site_fract_x
_atom_site_fract_y
_atom_site_fract_z
_atom_site_occupancy
Pu1 Pu 0.0000 0.0000 0.0000 1
Mg1 Mg 0.0000 0.0000 0.5809 1
Mg2 Mg 0.0000 0.0000 0.7536 1
Sc1 Sc 0.0000 0.0000 0.1676 1
```

***

Entry from Alexandria: a geometry-optimized HfZrGa3 structure (PBE).

Output
Formation energy: 0.717 eV/atom
Fermi-level density of states: 4.019 states/eV per cell
Total moment: 0.00 μB/cell
Total DFT energy (no corrections): -0.1764 Ha/atom

```
data_HfZrGa3
_chemical_formula_sum 'Hf1 Zr1 Ga3'
_cell_length_a 4.978
_cell_length_b 4.978
_cell_length_c 4.978
_cell_angle_alpha 90.00
_cell_angle_beta 90.00
_cell_angle_gamma 90.00
_space_group_name_H-M_alt 'P m -3 m'
_space_group_IT_number 221
_space_group_name_Hall '-P 4 2 3'
loop_
_atom_site_label
_atom_site_type_symbol
_atom_site_fract_x
_atom_site_fract_y
_atom_site_fract_z
_atom_site_occupancy
Hf1 Hf 0.000 0.000 0.000 1
Zr1 Zr 0.500 0.500 0.500 1
Ga1 Ga 0.000 0.500 0.500 1
```

***

Entry from Alexandria: a geometry-optimized TlFe4Ni structure (PBE).

Output
Formation energy: 0.342 eV/atom
Fermi-level density of states: 27.123 states/eV per cell
Total moment: 42.75 μB/cell
Total DFT energy (no corrections): -0.2447 Ha/atom

```
data_TlFe4Ni
_chemical_formula_sum 'Tl4 Fe16 Ni4'
_cell_length_a 6.910
_cell_length_b 6.910
_cell_length_c 6.910
_cell_angle_alpha 90.00
_cell_angle_beta 90.00
_cell_angle_gamma 90.00
_space_group_name_H-M_alt 'F -4 3 m'
_space_group_IT_number 216
_space_group_name_Hall 'F -4 2 3'
loop_
_atom_site_label
_atom_site_type_symbol
_atom_site_fract_x
_atom_site_fract_y
_atom_site_fract_z
_atom_site_occupancy
Tl1 Tl 0.000 0.000 0.000 1
Fe1 Fe 0.125 0.125 0.625 1
Ni1 Ni 0.250 0.250 0.250 1
```

***

Entry from Alexandria: a geometry-optimized Sr2Cd2As3 structure (PBE).

Output
Formation energy: -0.762 eV/atom
Fermi-level density of states: 0.814 states/eV per cell
Total moment: 0.00 μB/cell
Total DFT energy (no corrections): -0.1285 Ha/atom

```
data_Sr2Cd2As3
_chemical_formula_sum 'Sr8 Cd8 As12'
_cell_length_a 16.670
_cell_length_b 4.512
_cell_length_c 12.510
_cell_angle_alpha 90.00
_cell_angle_beta 126.40
_cell_angle_gamma 90.00
_space_group_name_H-M_alt 'C 1 2/m 1'
_space_group_IT_number 12
loop_
_space_group_symop_operation_xyz
'x,y,z'
'-x,-y,-z'
'-x,y,-z'
'x,-y,z'
'x+1/2,y+1/2,z'
'-x+1/2,-y+1/2,-z'
'-x+1/2,y+1/2,-z'
'x+1/2,-y+1/2,z'
loop_
_atom_site_label
_atom_site_type_symbol
_atom_site_fract_x
_atom_site_fract_y
_atom_site_fract_z
_atom_site_occupancy
Sr1 Sr 0.107 0.000 0.453 1
Sr2 Sr 0.232 0.000 0.831 1
Cd1 Cd 0.045 0.500 0.813 1
Cd2 Cd 0.091 0.000 0.158 1
As1 As 0.080 0.500 0.618 1
As2 As 0.125 0.000 0.969 1
As3 As 0.159 0.500 0.313 1
```

***

Entry from Alexandria: a geometry-optimized AcPm2Pr2Nd2 structure (PBE).

Output
Formation energy: 0.024 eV/atom
Fermi-level density of states: 23.948 states/eV per cell
Total moment: 0.00 μB/cell
Total DFT energy (no corrections): -0.1708 Ha/atom

```
data_AcPm2Pr2Nd2
_chemical_formula_sum 'Ac2 Pm4 Pr4 Nd4'
_cell_length_a 11.788
_cell_length_b 5.274
_cell_length_c 8.343
_cell_angle_alpha 90.00
_cell_angle_beta 98.11
_cell_angle_gamma 90.00
_space_group_name_H-M_alt 'C 1 2/m 1'
_space_group_IT_number 12
loop_
_space_group_symop_operation_xyz
'x,y,z'
'-x,-y,-z'
'-x,y,-z'
'x,-y,z'
'x+1/2,y+1/2,z'
'-x+1/2,-y+1/2,-z'
'-x+1/2,y+1/2,-z'
'x+1/2,-y+1/2,z'
loop_
_atom_site_label
_atom_site_type_symbol
_atom_site_fract_x
_atom_site_fract_y
_atom_site_fract_z
_atom_site_occupancy
Ac1 Ac 0.000 0.000 0.000 1
Pm1 Pm 0.142 0.000 0.432 1
Pr1 Pr 0.215 0.500 0.149 1
Nd1 Nd 0.074 0.500 0.709 1
```

***

Entry from Alexandria: a geometry-optimized BiH3Pd6 structure (PBE).

Output
Fermi-level density of states: 7.567 states/eV per cell
Total moment: 0.00 μB/cell
Total DFT energy (no corrections): -0.1676 Ha/atom

```
data_BiH3Pd6
_chemical_formula_sum 'Bi2 H6 Pd12'
_cell_length_a 9.392
_cell_length_b 2.971
_cell_length_c 9.474
_cell_angle_alpha 90.00
_cell_angle_beta 103.02
_cell_angle_gamma 90.00
_space_group_name_H-M_alt 'P 1 21/m 1'
_space_group_IT_number 11
loop_
_space_group_symop_operation_xyz
'x,y,z'
'-x,-y,-z'
'-x,y+1/2,-z'
'x,-y+1/2,z'
loop_
_atom_site_label
_atom_site_type_symbol
_atom_site_fract_x
_atom_site_fract_y
_atom_site_fract_z
_atom_site_occupancy
Bi1 Bi 0.067 0.250 0.173 1
H1 H 0.186 0.250 0.592 1
H2 H 0.381 0.750 0.088 1
H3 H 0.451 0.750 0.662 1
Pd1 Pd 0.098 0.750 0.426 1
Pd2 Pd 0.180 0.750 0.717 1
Pd3 Pd 0.252 0.250 0.979 1
Pd4 Pd 0.337 0.750 0.274 1
Pd5 Pd 0.373 0.250 0.550 1
Pd6 Pd 0.464 0.750 0.858 1
```

***

Entry from Alexandria: a geometry-optimized YNi2GeH structure (PBE).

Output
Fermi-level density of states: 6.114 states/eV per cell
Total moment: 0.00 μB/cell
Total DFT energy (no corrections): -0.2140 Ha/atom

```
data_YNi2GeH
_chemical_formula_sum 'Y4 Ni8 Ge4 H4'
_cell_length_a 3.790
_cell_length_b 10.273
_cell_length_c 6.850
_cell_angle_alpha 90.00
_cell_angle_beta 90.00
_cell_angle_gamma 90.00
_space_group_name_H-M_alt 'C m c m'
_space_group_IT_number 63
_space_group_name_Hall '-C 2c 2'
loop_
_atom_site_label
_atom_site_type_symbol
_atom_site_fract_x
_atom_site_fract_y
_atom_site_fract_z
_atom_site_occupancy
Y1 Y 0.000 0.058 0.250 1
Ni1 Ni 0.000 0.340 0.057 1
Ge1 Ge 0.000 0.225 0.750 1
H1 H 0.000 0.500 0.000 1
```

***

Entry from Alexandria: a geometry-optimized ZnAgHg2 structure (PBE).

Output
Formation energy: 0.084 eV/atom
Fermi-level density of states: 1.599 states/eV per cell
Total moment: 0.00 μB/cell
Total DFT energy (no corrections): -0.0404 Ha/atom

```
data_ZnAgHg2
_chemical_formula_sum 'Zn2 Ag2 Hg4'
_cell_length_a 11.913
_cell_length_b 3.050
_cell_length_c 4.776
_cell_angle_alpha 90.00
_cell_angle_beta 107.13
_cell_angle_gamma 90.00
_space_group_name_H-M_alt 'C 1 m 1'
_space_group_IT_number 8
loop_
_space_group_symop_operation_xyz
'x,y,z'
'x,-y,z'
'x+1/2,y+1/2,z'
'x+1/2,-y+1/2,z'
loop_
_atom_site_label
_atom_site_type_symbol
_atom_site_fract_x
_atom_site_fract_y
_atom_site_fract_z
_atom_site_occupancy
Zn1 Zn 0.000 0.000 0.000 1
Ag1 Ag 0.191 0.500 0.307 1
Hg1 Hg 0.251 0.000 0.848 1
Hg2 Hg 0.453 0.000 0.475 1
```

***

Entry from Alexandria: a geometry-optimized TiBe4Rh structure (PBE).

Output
Formation energy: -0.519 eV/atom
Fermi-level density of states: 12.316 states/eV per cell
Total moment: 0.00 μB/cell
Total DFT energy (no corrections): -0.2037 Ha/atom

```
data_TiBe4Rh
_chemical_formula_sum 'Ti4 Be16 Rh4'
_cell_length_a 6.218
_cell_length_b 6.218
_cell_length_c 6.218
_cell_angle_alpha 90.00
_cell_angle_beta 90.00
_cell_angle_gamma 90.00
_space_group_name_H-M_alt 'F -4 3 m'
_space_group_IT_number 216
_space_group_name_Hall 'F -4 2 3'
loop_
_atom_site_label
_atom_site_type_symbol
_atom_site_fract_x
_atom_site_fract_y
_atom_site_fract_z
_atom_site_occupancy
Ti1 Ti 0.000 0.000 0.000 1
Be1 Be 0.126 0.126 0.374 1
Rh1 Rh 0.250 0.250 0.750 1
```

***

Entry from Alexandria: a geometry-optimized CdFeHgGe2 structure (PBE).

Output
Formation energy: 0.193 eV/atom
Fermi-level density of states: 2.559 states/eV per cell
Total moment: 0.01 μB/cell
Total DFT energy (no corrections): -0.1319 Ha/atom

```
data_CdFeHgGe2
_chemical_formula_sum 'Cd1 Fe1 Hg1 Ge2'
_cell_length_a 4.496
_cell_length_b 4.496
_cell_length_c 5.282
_cell_angle_alpha 90.00
_cell_angle_beta 90.00
_cell_angle_gamma 90.00
_space_group_name_H-M_alt 'P 4/m m m'
_space_group_IT_number 123
_space_group_name_Hall '-P 4 2'
loop_
_atom_site_label
_atom_site_type_symbol
_atom_site_fract_x
_atom_site_fract_y
_atom_site_fract_z
_atom_site_occupancy
Cd1 Cd 0.000 0.000 0.000 1
Fe1 Fe 0.500 0.500 0.500 1
Hg1 Hg 0.500 0.500 0.000 1
Ge1 Ge 0.000 0.500 0.500 1
```

***

Entry from Alexandria: a geometry-optimized PmPr2Tl2 structure (PBE).

Output
Formation energy: -0.076 eV/atom
Fermi-level density of states: 5.640 states/eV per cell
Total moment: 0.69 μB/cell
Total DFT energy (no corrections): -0.1427 Ha/atom

```
data_PmPr2Tl2
_chemical_formula_sum 'Pm2 Pr4 Tl4'
_cell_length_a 5.3086
_cell_length_b 5.3086
_cell_length_c 13.2660
_cell_angle_alpha 90.00
_cell_angle_beta 90.00
_cell_angle_gamma 120.00
_space_group_name_H-M_alt 'P 63/m m c'
_space_group_IT_number 194
_space_group_name_Hall '-P 6c 2c'
loop_
_atom_site_label
_atom_site_type_symbol
_atom_site_fract_x
_atom_site_fract_y
_atom_site_fract_z
_atom_site_occupancy
Pm1 Pm 0.0000 0.0000 0.2500 1
Pr1 Pr 0.0000 0.0000 0.0000 1
Pr2 Pr 0.3333 0.6667 0.2500 1
Tl1 Tl 0.3333 0.6667 0.6289 1
```

***

Entry from Alexandria: a geometry-optimized Cs2TlSiCl6 structure (PBE).

Output
Fermi-level density of states: 10.495 states/eV per cell
E_form (uncorrected): -1.333 eV/atom
Total moment: 0.00 μB/cell
Total DFT energy (no corrections): -0.1246 Ha/atom

```
data_Cs2TlSiCl6
_chemical_formula_sum 'Cs4 Tl2 Si2 Cl12'
_cell_length_a 7.723
_cell_length_b 7.723
_cell_length_c 10.895
_cell_angle_alpha 90.00
_cell_angle_beta 90.00
_cell_angle_gamma 90.00
_space_group_name_H-M_alt 'I 4/m m m'
_space_group_IT_number 139
_space_group_name_Hall '-I 4 2'
loop_
_atom_site_label
_atom_site_type_symbol
_atom_site_fract_x
_atom_site_fract_y
_atom_site_fract_z
_atom_site_occupancy
Cs1 Cs 0.000 0.500 0.250 1
Tl1 Tl 0.000 0.000 0.000 1
Si1 Si 0.000 0.000 0.500 1
Cl1 Cl 0.000 0.000 0.281 1
Cl2 Cl 0.219 0.219 0.500 1
```